Entry 1:
The following is a GGA-PBE calculation of a relaxed FeSn3Ru crystal, from Alexandria via LeMat-Bulk.

Energy relative to the lowest polymorph listed for this composition, eV/atom: 0.0924
Energy of formation, eV/f.u.: 3.8
Theoretical density, g/cm³: 7.568
Total magnetization, μB per cell: 1.58

Cell lengths 4.828, 4.828, 4.828 Å; angles 90.00, 90.00, 90.00 degrees
Space group Pm-3m (No. 221)
Asymmetric unit:
Fe 0.000 0.000 0.000
Sn 0.000 0.000 0.500
Ru 0.500 0.500 0.500

***

Entry 2:
The following is a GGA-PBE calculation of a relaxed SrAl2SiMo crystal, from Alexandria via LeMat-Bulk.

Energy relative to the elements, uncorrected, eV/atom: 1.0235
Theoretical density, g/cm³: 3.346
Total magnetization, μB per cell: 4.04

Cell lengths 4.853, 4.853, 5.596 Å; angles 90.00, 90.00, 90.00 degrees
Space group P4/mmm (No. 123)
Asymmetric unit:
Sr 0.000 0.000 0.000
Al 0.000 0.500 0.500
Si 0.000 0.000 0.500
Mo 0.500 0.500 0.000

***

Entry 3:
The following is a GGA-PBE calculation of a relaxed HoScTcAg crystal, from Alexandria via LeMat-Bulk.

Energy of formation, eV/f.u.: -0.7
Theoretical density, g/cm³: 8.712
Total magnetization, μB per cell: 0.00

Cell lengths 6.818, 6.818, 6.818 Å; angles 90.00, 90.00, 90.00 degrees
Space group F-43m (No. 216)
Asymmetric unit:
Ho 0.000 0.000 0.000
Sc 0.000 0.000 0.500
Tc 0.250 0.250 0.750
Ag 0.250 0.250 0.250

***

Entry 4:
The following is a GGA-PBE calculation of a relaxed ZrTlPdW2 crystal, from Alexandria via LeMat-Bulk.

Energy of formation, eV/f.u.: 12.9
Theoretical density, g/cm³: 10.010
Total magnetization, μB per cell: 0.00

Cell lengths 4.959, 4.959, 5.192 Å; angles 90.00, 90.00, 90.00 degrees
Space group P4/mmm (No. 123)
Asymmetric unit:
Zr 0.000 0.000 0.000
Tl 0.000 0.000 0.500
Pd 0.500 0.500 0.000
W 0.000 0.500 0.500

***

Entry 5:
The following is a GGA-PBE calculation of a relaxed BaYRe2 crystal, from Alexandria via LeMat-Bulk.

Energy relative to the lowest polymorph listed for this composition, eV/atom: 0.0000
Energy of formation, eV/f.u.: 1.1
Theoretical density, g/cm³: 7.921
Total magnetization, μB per cell: 0.05

Cell lengths 7.336, 4.235, 8.426 Å; angles 90.00, 106.48, 90.00 degrees
Space group Cm (No. 8)
Asymmetric unit:
Ba 0.000 0.000 0.000
Y 0.178 0.000 0.543
Re 0.261 0.500 0.287
Re 0.444 0.000 0.339

***

Entry 6:
The following is a GGA-PBE calculation of a relaxed LaThPb crystal, from Alexandria via LeMat-Bulk.

Energy relative to the lowest polymorph listed for this composition, eV/atom: 0.2915
Energy of formation, eV/f.u.: -0.3
Theoretical density, g/cm³: 9.756
Total magnetization, μB per cell: 0.00

Cell lengths 5.5862, 5.5862, 7.2825 Å; angles 90.00, 90.00, 120.00 degrees
Space group P-3m1 (No. 164)
Asymmetric unit:
La 0.3333 0.6667 0.3683
Th 0.3333 0.6667 0.9112
Pb 0.0000 0.0000 0.2364

***

Entry 7:
The following is a GGA-PBE calculation of a relaxed MgTaTc3 crystal, from Alexandria via LeMat-Bulk.

Energy relative to the lowest polymorph listed for this composition, eV/atom: 0.2637
Energy of formation, eV/f.u.: 8.5
Theoretical density, g/cm³: 9.523
Total magnetization, μB per cell: 1.57

Cell lengths 4.432, 4.432, 4.432 Å; angles 90.00, 90.00, 90.00 degrees
Space group Pm-3m (No. 221)
Asymmetric unit:
Mg 0.000 0.000 0.000
Ta 0.500 0.500 0.500
Tc 0.000 0.000 0.500

***

Entry 8:
The following is a GGA-PBE calculation of a relaxed IrCN2 crystal, from Alexandria via LeMat-Bulk.

Energy relative to the elements, uncorrected, eV/atom: 0.7370
Theoretical density, g/cm³: 8.827
Total magnetization, μB per cell: 0.00

Cell lengths 3.3320, 3.3320, 13.6321 Å; angles 90.00, 90.00, 120.00 degrees
Space group R-3m (No. 166, hexagonal axes)
Asymmetric unit:
Ir 0.0000 0.0000 0.0000
C 0.0000 0.0000 0.5000
N 0.0000 0.0000 0.4080

***

Entry 9:
The following is a GGA-PBE calculation of a relaxed YAl2Sn2 crystal, from Alexandria via LeMat-Bulk.

Energy of formation, eV/f.u.: -0.6
Theoretical density, g/cm³: 5.177
Total magnetization, μB per cell: 0.00

Cell lengths 4.043, 4.043, 14.922 Å; angles 90.00, 90.00, 90.00 degrees
Space group I4/mmm (No. 139)
Asymmetric unit:
Y 0.000 0.000 0.000
Al 0.000 0.500 0.250
Sn 0.000 0.000 0.392

***

Entry 10:
The following is a GGA-PBE calculation of a relaxed ReIr3Cl crystal, from Alexandria via LeMat-Bulk.

Energy relative to the elements, uncorrected, eV/atom: 1.9645
Energy relative to the lowest polymorph listed for this composition, eV/atom: 0.0756
Theoretical density, g/cm³: 15.908
Total magnetization, μB per cell: 0.00

Cell lengths 4.368, 4.368, 4.368 Å; angles 90.00, 90.00, 90.00 degrees
Space group Pm-3m (No. 221)
Asymmetric unit:
Re 0.000 0.000 0.000
Ir 0.000 0.500 0.500
Cl 0.500 0.500 0.500

***

Entry 11:
The following is a GGA-PBE calculation of a relaxed SmTmTl crystal, from Alexandria via LeMat-Bulk.

Energy relative to the lowest polymorph listed for this composition, eV/atom: 0.0995
Energy of formation, eV/f.u.: -0.5
Theoretical density, g/cm³: 9.685
Total magnetization, μB per cell: 0.00

Cell lengths 5.2628, 5.2628, 3.7431 Å; angles 90.00, 90.00, 120.00 degrees
Space group P3m1 (No. 156)
Asymmetric unit:
Sm 0.0000 0.0000 0.0000
Tm 0.6667 0.3333 0.4827
Tl 0.3333 0.6667 0.5536

***

Number 1: V 22.51 A^3/atom. Number 2: V 26.36 A^3/atom. Number 3: V 19.81 A^3/atom. Number 4: V 25.54 A^3/atom. Number 5: V 31.37 A^3/atom. Number 6: V 32.80 A^3/atom. Number 7: V 17.41 A^3/atom. Number 8: V 10.92 A^3/atom. Number 9: V 24.39 A^3/atom. Number 10: V 16.67 A^3/atom. Number 11: V 29.93 A^3/atom.